*w*
Here is a relaxed Ho2ZnFe crystal from Alexandria. Energies are from PBE.

The structure belongs to space group R-3m (No. 166, hexagonal axes); the cell edges are 3.5245, 3.5245 and 28.9724 Å and the angles 90.00°, 90.00° and 120.00°. Symmetry generates all atoms from Ho at (0.0000, 0.0000, 0.1070), Zn at (0.0000, 0.0000, 0.0000) and Fe at (0.0000, 0.0000, 0.5000).

***

*x*
Here is a relaxed Ho2ZnFe crystal from Alexandria. Energies are from PBE.

The structure belongs to space group P4/mmm (No. 123); the cell edges are 3.3703, 3.3703 and 7.1542 Å and the angles 90.00°, 90.00° and 90.00°. Symmetry generates all atoms from Ho at (0.0000, 0.0000, 0.2243), Zn at (0.5000, 0.5000, 0.5000) and Fe at (0.5000, 0.5000, 0.0000).

***

*y*
Here is a relaxed Ho2ZnFe crystal from Alexandria. Energies are from PBE.

The structure belongs to space group Fm-3m (No. 225); the cell edges are 6.8916, 6.8916 and 6.8916 Å and the angles 90.00°, 90.00° and 90.00°. Symmetry generates all atoms from Ho at (0.2500, 0.2500, 0.2500), Zn at (0.0000, 0.0000, 0.0000) and Fe at (0.0000, 0.0000, 0.5000).

***

Which one is the most stable? From the structures above, *x*.